The following is a PBE calculation of a relaxed In11Pb crystal, from Alexandria via LeMat-Bulk. Values from VASP.

* energy: -65.5 eV per cell

The structure in Quantum ESPRESSO input format:
```
&SYSTEM
  ibrav = 0, nat = 24, ntyp = 2
/
ATOMIC_SPECIES
In 114.82 In.upf
Pb 207.20 Pb.upf
CELL_PARAMETERS angstrom
-6.175 6.175 4.545
6.175 -6.175 4.545
6.175 6.175 -4.545
ATOMIC_POSITIONS crystal
In 0.000 0.000 0.000
In 0.000 0.000 0.500
In 0.000 0.500 0.000
In 0.109 0.538 0.331
In 0.109 0.779 0.572
In 0.125 0.875 0.250
In 0.221 0.293 0.331
In 0.221 0.891 0.928
In 0.293 0.221 0.831
In 0.293 0.462 0.072
In 0.462 0.293 0.572
In 0.462 0.891 0.169
In 0.500 0.000 0.500
In 0.538 0.109 0.831
In 0.538 0.707 0.428
In 0.707 0.538 0.928
In 0.707 0.779 0.169
In 0.779 0.109 0.072
In 0.779 0.707 0.669
In 0.875 0.125 0.750
In 0.891 0.221 0.428
In 0.891 0.462 0.669
Pb 0.375 0.625 0.750
Pb 0.625 0.375 0.250
```

***

The following is a PBE calculation of a relaxed In2Pb crystal, from Alexandria via LeMat-Bulk. Values from VASP.

* distance to the lowest polymorph of the same formula: 5.3 meV/atom

The structure in Quantum ESPRESSO input format:
```
&SYSTEM
  ibrav = 0, nat = 12, ntyp = 2
/
ATOMIC_SPECIES
In 114.82 In.upf
Pb 207.20 Pb.upf
CELL_PARAMETERS angstrom
6.815 0.000 0.000
0.000 5.148 0.000
0.000 0.000 9.881
ATOMIC_POSITIONS crystal
In 0.115 0.250 0.244
In 0.125 0.250 0.917
In 0.375 0.750 0.417
In 0.385 0.750 0.744
In 0.615 0.250 0.256
In 0.625 0.250 0.583
In 0.875 0.750 0.083
In 0.885 0.750 0.756
Pb 0.132 0.250 0.582
Pb 0.368 0.750 0.082
Pb 0.632 0.250 0.918
Pb 0.868 0.750 0.418
```

***

The following is a PBE calculation of a relaxed InPb3 crystal, from Alexandria via LeMat-Bulk. Values from VASP.

* energy: -27.6 eV per cell

The structure in Quantum ESPRESSO input format:
```
&SYSTEM
  ibrav = 0, nat = 8, ntyp = 2
/
ATOMIC_SPECIES
In 114.82 In.upf
Pb 207.20 Pb.upf
CELL_PARAMETERS angstrom
11.653 0.000 0.000
0.000 3.552 0.000
-1.029 0.000 5.927
ATOMIC_POSITIONS crystal
In 0.000 0.000 0.000
In 0.500 0.500 0.000
Pb 0.000 0.500 0.500
Pb 0.249 0.000 0.753
Pb 0.251 0.500 0.247
Pb 0.500 0.000 0.500
Pb 0.749 0.500 0.753
Pb 0.751 0.000 0.247
```

***

no.,D(E_F) (states/eV per atom)
1,0.416
2,0.375
3,0.600